# Li6GeAu2, relaxed, DFT PBE-GGA
data_Li6GeAu2
_cell_length_a 2.8752
_cell_length_b 7.6072
_cell_length_c 7.6069
_cell_angle_alpha 120.00
_cell_angle_beta 90.00
_cell_angle_gamma 90.00
_symmetry_space_group_name_H-M 'P 1'
_symmetry_Int_Tables_number 1
_symmetry_space_group_name_Hall 'P 1'
loop_
_atom_site_label
_atom_site_type_symbol
_atom_site_fract_x
_atom_site_fract_y
_atom_site_fract_z
Li1 Li 0.5000 0.6369 0.0000
Li2 Li 0.5000 0.3631 0.3631
Li3 Li 0.5000 0.0000 0.6369
Li4 Li 0.0000 0.2923 0.0000
Li5 Li 0.0000 0.7077 0.7077
Li6 Li 0.0000 0.0000 0.2923
Ge1 Ge 0.5000 0.0000 0.0000
Au1 Au 0.0000 0.3333 0.6667
Au2 Au 0.0000 0.6667 0.3333
# Distance to the lowest polymorph of the same formula   1.38 kJ per mole of atoms
# N(E_F)   2.9 states/eV per cell
# SG   No. 189



# LiGe3Au, relaxed, DFT PBE-GGA
data_LiGe3Au
_cell_length_a 4.5777
_cell_length_b 4.5777
_cell_length_c 4.5777
_cell_angle_alpha 90.00
_cell_angle_beta 90.00
_cell_angle_gamma 90.00
_symmetry_space_group_name_H-M 'P 1'
_symmetry_Int_Tables_number 1
_symmetry_space_group_name_Hall 'P 1'
loop_
_atom_site_label
_atom_site_type_symbol
_atom_site_fract_x
_atom_site_fract_y
_atom_site_fract_z
Ge1 Ge 0.0000 0.5000 0.0000
Ge2 Ge 0.0000 0.0000 0.5000
Ge3 Ge 0.5000 0.0000 0.0000
Au1 Au 0.5000 0.5000 0.5000
Li1 Li 0.0000 0.0000 0.0000
# Distance to the lowest polymorph of the same formula   0.00 kJ per mole of atoms
# N(E_F)   1.7 states/eV per cell
# SG   No. 221



# Li3GeAu6, relaxed, DFT PBE-GGA
data_Li3GeAu6
_cell_length_a 4.7100
_cell_length_b 7.6215
_cell_length_c 10.2766
_cell_angle_alpha 114.46
_cell_angle_beta 90.00
_cell_angle_gamma 90.00
_symmetry_space_group_name_H-M 'P 1'
_symmetry_Int_Tables_number 1
_symmetry_space_group_name_Hall 'P 1'
loop_
_atom_site_label
_atom_site_type_symbol
_atom_site_fract_x
_atom_site_fract_y
_atom_site_fract_z
Li1 Li 0.2500 0.5549 0.3734
Li2 Li 0.7500 0.4451 0.6266
Li3 Li 0.2500 0.3684 0.7752
Li4 Li 0.7500 0.6316 0.2248
Li5 Li 0.2500 0.7749 0.9747
Li6 Li 0.7500 0.2251 0.0253
Ge1 Ge 0.2500 0.9657 0.5812
Ge2 Ge 0.7500 0.0343 0.4188
Au1 Au 0.2500 0.4676 0.0714
Au2 Au 0.7500 0.5324 0.9286
Au3 Au 0.2500 0.1715 0.1700
Au4 Au 0.7500 0.8285 0.8300
Au5 Au 0.2500 0.6523 0.6691
Au6 Au 0.7500 0.3477 0.3309
Au7 Au 0.2500 0.2601 0.4798
Au8 Au 0.7500 0.7399 0.5202
Au9 Au 0.2500 0.8520 0.2705
Au10 Au 0.7500 0.1480 0.7295
Au11 Au 0.2500 0.0698 0.8705
Au12 Au 0.7500 0.9302 0.1295
# Distance to the lowest polymorph of the same formula   0.00 kJ per mole of atoms
# N(E_F)   4.7 states/eV per cell
# SG   No. 11



# Li2GeAu5, relaxed, DFT PBE-GGA
data_Li2GeAu5
_cell_length_a 4.2824
_cell_length_b 5.5885
_cell_length_c 11.2434
_cell_angle_alpha 90.00
_cell_angle_beta 90.00
_cell_angle_gamma 90.00
_symmetry_space_group_name_H-M 'P 1'
_symmetry_Int_Tables_number 1
_symmetry_space_group_name_Hall 'P 1'
loop_
_atom_site_label
_atom_site_type_symbol
_atom_site_fract_x
_atom_site_fract_y
_atom_site_fract_z
Li1 Li 0.5000 0.2972 0.3641
Li2 Li 0.5000 0.7028 0.6359
Li3 Li 0.5000 0.2028 0.8641
Li4 Li 0.5000 0.7972 0.1359
Ge1 Ge 0.0000 0.0000 0.5000
Ge2 Ge 0.0000 0.5000 0.0000
Au1 Au 0.5000 0.2899 0.1140
Au2 Au 0.5000 0.7101 0.8860
Au3 Au 0.5000 0.7899 0.3860
Au4 Au 0.5000 0.2101 0.6140
Au5 Au 0.0000 0.9518 0.7450
Au6 Au 0.0000 0.0482 0.2550
Au7 Au 0.0000 0.4518 0.7550
Au8 Au 0.0000 0.5482 0.2450
Au9 Au 0.0000 0.5000 0.5000
Au10 Au 0.0000 0.0000 0.0000
# Distance to the lowest polymorph of the same formula   0.00 kJ per mole of atoms
# N(E_F)   5.3 states/eV per cell
# SG   No. 55



# Li3Ge2Au5, relaxed, DFT PBE-GGA
data_Li3Ge2Au5
_cell_length_a 5.4275
_cell_length_b 8.8544
_cell_length_c 8.8544
_cell_angle_alpha 95.66
_cell_angle_beta 72.15
_cell_angle_gamma 72.15
_symmetry_space_group_name_H-M 'P 1'
_symmetry_Int_Tables_number 1
_symmetry_space_group_name_Hall 'P 1'
loop_
_atom_site_label
_atom_site_type_symbol
_atom_site_fract_x
_atom_site_fract_y
_atom_site_fract_z
Li1 Li 0.2500 0.0000 0.0000
Li2 Li 0.7500 0.0000 0.0000
Li3 Li 0.3982 0.4263 0.7773
Li4 Li 0.6018 0.5737 0.2227
Li5 Li 0.8982 0.7773 0.4263
Li6 Li 0.1018 0.2227 0.5737
Ge1 Ge 0.1009 0.7507 0.0475
Ge2 Ge 0.8991 0.2493 0.9525
Ge3 Ge 0.6009 0.0475 0.7507
Ge4 Ge 0.3991 0.9525 0.2493
Au1 Au 0.2500 0.5000 0.5000
Au2 Au 0.7500 0.5000 0.5000
Au3 Au 0.4875 0.7625 0.7625
Au4 Au 0.0125 0.2375 0.2375
Au5 Au 0.5125 0.2375 0.2375
Au6 Au 0.9875 0.7625 0.7625
Au7 Au 0.1852 0.4944 0.1352
Au8 Au 0.8148 0.5056 0.8648
Au9 Au 0.6852 0.1352 0.4944
Au10 Au 0.3148 0.8648 0.5056
# N(E_F)   5.3 states/eV per cell
# SG   No. 72



# Li5GeAu4, relaxed, DFT PBE-GGA
data_Li5GeAu4
_cell_length_a 3.2366
_cell_length_b 3.2366
_cell_length_c 14.5716
_cell_angle_alpha 90.00
_cell_angle_beta 90.00
_cell_angle_gamma 90.00
_symmetry_space_group_name_H-M 'P 1'
_symmetry_Int_Tables_number 1
_symmetry_space_group_name_Hall 'P 1'
loop_
_atom_site_label
_atom_site_type_symbol
_atom_site_fract_x
_atom_site_fract_y
_atom_site_fract_z
Li1 Li 0.5000 0.5000 0.1004
Li2 Li 0.5000 0.5000 0.2993
Li3 Li 0.5000 0.5000 0.5000
Li4 Li 0.5000 0.5000 0.7007
Li5 Li 0.5000 0.5000 0.8996
Ge1 Ge 0.0000 0.0000 0.0000
Au1 Au 0.0000 0.0000 0.1973
Au2 Au 0.0000 0.0000 0.3994
Au3 Au 0.0000 0.0000 0.6006
Au4 Au 0.0000 0.0000 0.8027
# N(E_F)   1.4 states/eV per cell
# SG   No. 123



# LiGe3Au3, relaxed, DFT PBE-GGA
data_LiGe3Au3
_cell_length_a 7.1963
_cell_length_b 7.1963
_cell_length_c 7.1963
_cell_angle_alpha 90.00
_cell_angle_beta 90.00
_cell_angle_gamma 90.00
_symmetry_space_group_name_H-M 'P 1'
_symmetry_Int_Tables_number 1
_symmetry_space_group_name_Hall 'P 1'
loop_
_atom_site_label
_atom_site_type_symbol
_atom_site_fract_x
_atom_site_fract_y
_atom_site_fract_z
Ge1 Ge 0.2500 0.0000 0.5000
Ge2 Ge 0.0000 0.5000 0.2500
Ge3 Ge 0.5000 0.7500 0.0000
Ge4 Ge 0.7500 0.0000 0.5000
Ge5 Ge 0.0000 0.5000 0.7500
Ge6 Ge 0.5000 0.2500 0.0000
Au1 Au 0.0000 0.2500 0.5000
Au2 Au 0.0000 0.7500 0.5000
Au3 Au 0.5000 0.0000 0.7500
Au4 Au 0.7500 0.5000 0.0000
Au5 Au 0.5000 0.0000 0.2500
Au6 Au 0.2500 0.5000 0.0000
Li1 Li 0.5000 0.5000 0.5000
Li2 Li 0.0000 0.0000 0.0000
# N(E_F)   12.3 states/eV per cell
# SG   No. 223



# LiGe2Au, relaxed, DFT PBE-GGA
data_LiGe2Au
_cell_length_a 7.8468
_cell_length_b 7.8468
_cell_length_c 6.1252
_cell_angle_alpha 50.17
_cell_angle_beta 50.17
_cell_angle_gamma 90.00
_symmetry_space_group_name_H-M 'P 1'
_symmetry_Int_Tables_number 1
_symmetry_space_group_name_Hall 'P 1'
loop_
_atom_site_label
_atom_site_type_symbol
_atom_site_fract_x
_atom_site_fract_y
_atom_site_fract_z
Ge1 Ge 0.6713 0.1250 0.2500
Ge2 Ge 0.0787 0.6250 0.2500
Ge3 Ge 0.3750 0.3287 0.7500
Ge4 Ge 0.8750 0.9213 0.7500
Au1 Au 0.0000 0.0000 0.0000
Au2 Au 0.7500 0.2500 0.5000
Li1 Li 0.5000 0.5000 0.0000
Li2 Li 0.2500 0.7500 0.5000
# Distance to the lowest polymorph of the same formula   9.37 kJ per mole of atoms
# N(E_F)   3.3 states/eV per cell
# SG   No. 122



# Li6GeAu6, relaxed, DFT PBE-GGA
data_Li6GeAu6
_cell_length_a 5.5352
_cell_length_b 5.5352
_cell_length_c 8.9353
_cell_angle_alpha 90.00
_cell_angle_beta 90.00
_cell_angle_gamma 120.00
_symmetry_space_group_name_H-M 'P 1'
_symmetry_Int_Tables_number 1
_symmetry_space_group_name_Hall 'P 1'
loop_
_atom_site_label
_atom_site_type_symbol
_atom_site_fract_x
_atom_site_fract_y
_atom_site_fract_z
Li1 Li 0.0000 0.0000 0.6953
Li2 Li 0.0000 0.0000 0.3047
Li3 Li 0.3333 0.6667 0.0000
Li4 Li 0.6667 0.3333 0.0000
Li5 Li 0.3333 0.6667 0.5000
Li6 Li 0.6667 0.3333 0.5000
Ge1 Ge 0.0000 0.0000 0.0000
Au1 Au 0.0000 0.5000 0.7496
Au2 Au 0.5000 0.0000 0.7496
Au3 Au 0.5000 0.5000 0.7496
Au4 Au 0.5000 0.0000 0.2504
Au5 Au 0.0000 0.5000 0.2504
Au6 Au 0.5000 0.5000 0.2504
# N(E_F)   2.8 states/eV per cell
# SG   No. 191



# LiGe2Au6, relaxed, DFT PBE-GGA
data_LiGe2Au6
_cell_length_a 4.9387
_cell_length_b 5.6915
_cell_length_c 6.8404
_cell_angle_alpha 75.76
_cell_angle_beta 68.84
_cell_angle_gamma 64.29
_symmetry_space_group_name_H-M 'P 1'
_symmetry_Int_Tables_number 1
_symmetry_space_group_name_Hall 'P 1'
loop_
_atom_site_label
_atom_site_type_symbol
_atom_site_fract_x
_atom_site_fract_y
_atom_site_fract_z
Li1 Li 0.0000 0.5000 0.5000
Ge1 Ge 0.1251 0.7073 0.0426
Ge2 Ge 0.8749 0.2927 0.9574
Au1 Au 0.2055 0.9632 0.6259
Au2 Au 0.3166 0.1972 0.1696
Au3 Au 0.6834 0.8028 0.8304
Au4 Au 0.4648 0.3620 0.7085
Au5 Au 0.5352 0.6380 0.2915
Au6 Au 0.7945 0.0368 0.3741
# Distance to the lowest polymorph of the same formula   0.00 kJ per mole of atoms
# N(E_F)   2.8 states/eV per cell
# SG   No. 12



Calculated values (meV per atom) of energy relative to the elements for the records, taken in order: -395.0, 456.4, -351.7, -329.6, -198.6, -487.7, 143.6, -55.2, -367.8, -100.2.
Calculated values (g cm⁻³) of mass density for the records, taken in order: 5.9, 7.3, 12.6, 13.2, 10.1, 9.7, 7.3, 7.3, 9.1, 13.8.